Record 1
## LaPr7 (GGA-PBE)

Data for an optimized crystal structure of LaPr7.

POSCAR file:
```
LaPr7
1.0
7.448 0.000 0.000
3.724 6.450 0.000
3.724 2.150 6.081
La Pr
1 7
Cartesian
0.000 0.000 0.000 La
5.586 3.225 0.000 Pr
5.586 1.075 3.040 Pr
3.724 4.300 3.040 Pr
3.724 0.000 0.000 Pr
1.862 3.225 0.000 Pr
1.862 1.075 3.040 Pr
7.448 4.300 3.040 Pr
```

## Properties
- Formation energy: 7 meV per atom


Record 2
## AgBiCl4 (GGA-PBE)

Data for an optimized crystal structure of AgBiCl4.

POSCAR file:
```
AgBiCl4
1.0
6.576 1.358 -2.844
-0.217 6.218 -2.990
-0.781 -0.219 10.166
Ag Bi Cl
2 2 8
Cartesian
2.467 4.834 0.608 Ag
3.112 2.523 3.725 Ag
1.932 0.768 0.159 Bi
3.646 6.589 4.173 Bi
5.455 2.141 5.798 Cl
4.426 4.476 2.721 Cl
2.070 4.843 5.587 Cl
1.989 0.857 5.309 Cl
3.589 6.500 -0.976 Cl
3.508 2.514 -1.255 Cl
1.152 2.881 1.611 Cl
0.123 5.216 -1.466 Cl
```

## Properties
- E_form (uncorrected): -0.81 eV/atom


Record 3
## Ac2Mg4In3Au (GGA-PBE)

Data for an optimized crystal structure of Ac2Mg4In3Au.

POSCAR file:
```
Ac2Mg4In3Au
1.0
-0.935 2.613 3.947
-4.529 0.678 -1.521
-3.335 -9.681 5.618
Ac Mg In Au
2 4 3 1
Cartesian
-1.339 -1.224 3.442 Ac
-4.728 -6.812 3.390 Ac
-2.732 1.645 1.213 Mg
0.000 0.000 0.000 Mg
-2.531 -4.683 5.449 Mg
-3.536 -3.353 1.382 Mg
-1.668 -4.841 2.809 In
-3.324 -6.987 6.786 In
-2.743 -1.049 0.045 In
-4.399 -3.195 4.022 Au
```

## Properties
- Formation energy: -363 meV per atom


In the order shown, the computed energy values come out to -38.33, -18.96, -29.72 eV per formula unit.
In the order shown, the computed N(E_F) values come out to 11.163, 0.000, 8.054 states/eV/cell.